# CsBr2O4 PBE relaxed
data_CsBr2O4
_space_group_name_H-M_alt 'C 1 2/m 1'
_space_group_IT_number 12
_cell_length_a 7.214
_cell_length_b 7.276
_cell_length_c 7.830
_cell_angle_alpha 90.00
_cell_angle_beta 94.14
_cell_angle_gamma 90.00
loop_
_space_group_symop_operation_xyz
'x,y,z'
'-x,-y,-z'
'-x,y,-z'
'x,-y,z'
'x+1/2,y+1/2,z'
'-x+1/2,-y+1/2,-z'
'-x+1/2,y+1/2,-z'
'x+1/2,-y+1/2,z'
loop_
_atom_site_label
_atom_site_type_symbol
_atom_site_fract_x
_atom_site_fract_y
_atom_site_fract_z
Cs1 Cs 0.000 0.000 0.000
Br1 Br 0.015 0.500 0.716
O1 O 0.142 0.309 0.772
# Formation energy (no corrections) (eV per atom): -0.251
# DOS at the Fermi energy (states/eV/f.u.): 1.40
# DFT total energy (eV per atom): -3.684
# Total magnetization (μB per atom): 0.14